Entry 1:
Below is crystalline Lu2In3Mo4C3 at its relaxed geometry, with properties calculated at the PBE level.

V   391 Å³/cell
Symmetry   C2/c, No. 15
DFT total energy   -7.618 eV/atom

Cell lengths 5.6698, 5.6698, 14.3838 Å; angles 101.63, 101.63, 60.33 degrees
Atoms (fractional coordinates):
C 0.5000 0.0000 0.0000
C 0.1611 0.6697 0.0004
C 0.3303 0.8389 0.4996
C 0.0000 0.5000 0.5000
C 0.6697 0.1611 0.5004
C 0.8389 0.3303 0.9996
In 0.1466 0.4160 0.2477
In 0.0171 0.9829 0.2500
In 0.5840 0.8534 0.2523
In 0.4160 0.1466 0.7477
In 0.9829 0.0171 0.7500
In 0.8534 0.5840 0.7523
Lu 0.5375 0.3789 0.1061
Lu 0.6211 0.4625 0.3939
Lu 0.3789 0.5375 0.6061
Lu 0.4625 0.6211 0.8939
Mo 0.8467 0.6926 0.0702
Mo 0.2009 0.0155 0.0706
Mo 0.9845 0.7991 0.4294
Mo 0.3074 0.1533 0.4298
Mo 0.6926 0.8467 0.5702
Mo 0.0155 0.2009 0.5706
Mo 0.7991 0.9845 0.9294
Mo 0.1533 0.3074 0.9298

=====

Entry 2:
Below is crystalline NaCuW at its relaxed geometry, with properties calculated at the PBE level.

V   54 Å³/cell
Symmetry   F-43m, No. 216
DFT total energy   -4.374 eV/atom

Cell lengths 4.2296, 4.2296, 4.2296 Å; angles 60.00, 60.00, 60.00 degrees
Atoms (fractional coordinates):
Cu 0.0000 0.0000 0.0000
Na 0.2500 0.2500 0.2500
W 0.7500 0.7500 0.7500

=====

Entry 3:
Below is crystalline YTaZnCo at its relaxed geometry, with properties calculated at the PBE level.

Energy relative to the elements   0.361 eV/atom
V   68 Å³/cell
Symmetry   F-43m, No. 216

Cell lengths 4.5821, 4.5821, 4.5821 Å; angles 60.00, 60.00, 60.00 degrees
Atoms (fractional coordinates):
Co 0.7500 0.7500 0.7500
Ta 0.5000 0.5000 0.5000
Y 0.2500 0.2500 0.2500
Zn 0.0000 0.0000 0.0000

=====

Entry 4:
Below is crystalline AcTcNi at its relaxed geometry, with properties calculated at the PBE level.

Energy relative to the elements   0.624 eV/atom
V   68 Å³/cell
Symmetry   F-43m, No. 216

Cell lengths 4.5902, 4.5902, 4.5902 Å; angles 60.00, 60.00, 60.00 degrees
Atoms (fractional coordinates):
Ac 0.2500 0.2500 0.2500
Ni 0.0000 0.0000 0.0000
Tc 0.7500 0.7500 0.7500

=====

Entry 5:
Below is crystalline ZrTlCoIr at its relaxed geometry, with properties calculated at the PBE level.

V   69 Å³/cell
Symmetry   F-43m, No. 216
DFT total energy   -6.869 eV/atom

Cell lengths 4.5934, 4.5934, 4.5934 Å; angles 60.00, 60.00, 60.00 degrees
Atoms (fractional coordinates):
Co 0.7500 0.7500 0.7500
Ir 0.2500 0.2500 0.2500
Tl 0.0000 0.0000 0.0000
Zr 0.5000 0.5000 0.5000

=====

Entry 6:
Below is crystalline NdPuSn at its relaxed geometry, with properties calculated at the PBE level.

V   97 Å³/cell
Symmetry   F-43m, No. 216
DFT total energy   -7.537 eV/atom

Cell lengths 5.1545, 5.1545, 5.1545 Å; angles 60.00, 60.00, 60.00 degrees
Atoms (fractional coordinates):
Nd 0.5000 0.5000 0.5000
Pu 0.2500 0.2500 0.2500
Sn 0.0000 0.0000 0.0000

=====

Entry 7:
Below is crystalline PrTmTlNi2 at its relaxed geometry, with properties calculated at the PBE level.

V   107 Å³/cell
Symmetry   Amm2, No. 38
DFT total energy   -4.977 eV/atom

Cell lengths 3.7105, 7.5882, 7.5882 Å; angles 30.08, 90.00, 90.00 degrees
Atoms (fractional coordinates):
Ni 0.5000 0.1969 0.1969
Ni 0.5000 0.7923 0.7923
Pr 0.0000 0.3631 0.3631
Tl 0.5000 0.0066 0.0066
Tm 0.0000 0.6411 0.6411

=====

Entry 8:
Below is crystalline Pr3Gd2DyTe2Ir at its relaxed geometry, with properties calculated at the PBE level.

V   258 Å³/cell
Symmetry   Amm2, No. 38
DFT total energy   -5.710 eV/atom

Cell lengths 4.0779, 8.5524, 8.5524 Å; angles 119.99, 90.00, 90.00 degrees
Atoms (fractional coordinates):
Dy 0.0000 0.7640 0.7640
Gd 0.0000 0.9999 0.2370
Gd 0.0000 0.2370 0.9999
Ir 0.5000 0.9975 0.9975
Pr 0.5000 0.5957 0.0000
Pr 0.5000 0.4052 0.4052
Pr 0.5000 0.0000 0.5957
Te 0.0000 0.6667 0.3341
Te 0.0000 0.3341 0.6667

=====

Which value of V does entry 3 give?
68 Å³/cell

=====

Number 8 is which compound?
Pr3Gd2DyTe2Ir